# 1
The following is a GGA-PBEsol calculation of an optimized crystal structure of LiCo4Si, from the Alexandria database.

Lattice parameters (Å, degrees): 6.4766 6.4766 6.4766 90.00 90.00 90.00
Last column: nearest neighbours and their distance in Å.
Space group F-43m (No. 216)
Unique sites:
Li1 0.0000 0.0000 0.0000  12 Co 2.69, 4 Si 2.80
Co1 0.1247 0.1247 0.6247  6 Co 2.28-2.29
Si1 0.2500 0.2500 0.2500  12 Co 2.68, 4 Li 2.80

Its total energy is -6.36 eV/atom. The size of the total moment is 4.53 μB per formula unit. The uncorrected formation energy comes out at 0.08 eV/atom.

# 2
The following is a GGA-PBEsol calculation of an optimized crystal structure of La2CdIn, from the Alexandria database.

Lattice parameters (Å, degrees): 4.6781 4.6781 10.1000 90.00 90.00 90.00
Last column: nearest neighbours and their distance in Å.
Space group I-4m2 (No. 119)
Unique sites:
La1 0.0000 0.0000 0.0000  4 Cd 3.31, 4 La 3.44, 4 In 3.44
La2 0.0000 0.5000 0.2500  4 In 3.31, 4 Cd 3.44, 4 La 3.44
Cd1 0.0000 0.0000 0.5000  8 La 3.31-3.44, 4 In 3.44
In1 0.0000 0.5000 0.7500  8 La 3.31-3.44, 4 Cd 3.44

Its total energy is -4.08 eV/atom. The size of the total moment is 0.00 μB per formula unit. The calculation puts the formation energy at -35.1 kJ/mol of atoms.

Theoretical density per entry: 6.620, 7.588 g/cm³